Version a
Material: PrY6Ho3
Method: DFT, PBE
State: optimized geometry

Cell and atoms, written as POSCAR:
```
PrY6Ho3
1.0
6.2775 0.0000 0.0000
0.0000 10.9234 -1.8118
0.0000 -4.2037 10.2437
Y Ho Pr
12 6 2
Direct
0.0023 0.7137 0.6265 Y
0.3573 0.5612 0.9834 Y
0.5023 0.2863 0.3735 Y
0.5023 0.6265 0.7137 Y
0.3573 0.0166 0.4388 Y
0.1404 0.6889 0.3110 Y
0.6404 0.3110 0.6889 Y
0.4159 0.9502 0.0498 Y
0.0023 0.3735 0.2863 Y
0.8573 0.9834 0.5612 Y
0.8573 0.4388 0.0166 Y
0.9159 0.0498 0.9502 Y
0.9505 0.7093 0.9239 Ho
0.9505 0.0761 0.2907 Ho
0.6052 0.6146 0.3854 Ho
0.4505 0.2907 0.0761 Ho
0.4505 0.9239 0.7093 Ho
0.1052 0.3854 0.6146 Ho
0.2036 0.2115 0.7885 Pr
0.7036 0.7885 0.2115 Pr
```

=====

Version b
Material: PrY6Ho3
Method: DFT, PBE
State: optimized geometry

Cell and atoms, written as POSCAR:
```
PrY6Ho3
1.0
6.4168 0.0000 0.0000
0.0000 10.0619 -5.6920
0.0000 -2.2078 11.3475
Y Ho Pr
12 6 2
Direct
0.0718 0.3787 0.2617 Y
0.3303 0.4580 0.8943 Y
0.3127 0.9849 0.0151 Y
0.8303 0.8943 0.4580 Y
0.8127 0.0151 0.9849 Y
0.2889 0.6984 0.3016 Y
0.0718 0.7383 0.6213 Y
0.5718 0.2617 0.3787 Y
0.8303 0.5420 0.1057 Y
0.5718 0.6213 0.7383 Y
0.7889 0.3016 0.6984 Y
0.3303 0.1057 0.5420 Y
0.0979 0.4180 0.5820 Ho
0.9854 0.0433 0.2964 Ho
0.5979 0.5820 0.4180 Ho
0.4854 0.9567 0.7036 Ho
0.4854 0.2964 0.0433 Ho
0.9854 0.7036 0.9567 Ho
0.5109 0.8377 0.1623 Pr
0.0109 0.1623 0.8377 Pr
```

=====

What should be chosen as the most stable of them? Choose version b.

=====

Version a
Material: Pr7Y4Ho
Method: DFT, PBE
State: optimized geometry

Cell and atoms, written as POSCAR:
```
Pr7Y4Ho
1.0
5.4778 -1.4994 2.4256
0.5046 6.5950 2.9305
1.6700 -1.3868 11.7621
Pr Ho Y
7 1 4
Direct
0.8233 0.5344 0.9312 Pr
0.5000 0.0000 0.0000 Pr
0.1767 0.4656 0.0688 Pr
0.1358 0.1872 0.6250 Pr
0.8642 0.8128 0.3750 Pr
0.1400 0.7089 0.5814 Pr
0.8600 0.2911 0.4186 Pr
0.0000 0.0000 0.0000 Ho
0.5066 0.8691 0.7271 Y
0.4940 0.5959 0.2728 Y
0.4934 0.1309 0.2729 Y
0.5060 0.4041 0.7272 Y
```

=====

Version b
Material: Pr7Y4Ho
Method: DFT, PBE
State: optimized geometry

Cell and atoms, written as POSCAR:
```
Pr7Y4Ho
1.0
-2.4660 -1.1381 5.4672
1.9496 -11.5135 1.8908
4.0654 0.8282 5.4143
Ho Pr Y
1 7 4
Direct
0.0000 0.0000 0.0000 Ho
0.3689 0.5008 0.7615 Pr
0.9377 0.3167 0.8079 Pr
0.6311 0.4992 0.2385 Pr
0.2105 0.0787 0.5003 Pr
0.5000 0.0000 0.0000 Pr
0.0623 0.6833 0.1921 Pr
0.7895 0.9213 0.4997 Pr
0.2407 0.3213 0.1973 Y
0.7593 0.6787 0.8027 Y
0.6449 0.2239 0.4864 Y
0.3551 0.7761 0.5136 Y
```

=====

What should be chosen as the most stable of them? Choose version a.

=====

Version a
Material: Pr5YHo6
Method: DFT, PBE
State: optimized geometry

Cell and atoms, written as POSCAR:
```
Pr5YHo6
1.0
-2.2532 6.3992 9.7381
-1.4103 -4.5876 4.0267
4.5143 -2.6391 3.4479
Y Pr Ho
1 5 6
Direct
0.0000 0.0000 0.0000 Y
0.0000 0.6664 0.6671 Pr
0.5000 0.1668 0.6664 Pr
0.0000 0.3336 0.3329 Pr
0.5000 0.5000 0.0000 Pr
0.5000 0.8332 0.3336 Pr
0.7508 0.4158 0.6667 Ho
0.2492 0.9175 0.6667 Ho
0.7506 0.7494 0.0000 Ho
0.7508 0.0825 0.3333 Ho
0.2494 0.2506 0.0000 Ho
0.2492 0.5842 0.3333 Ho
```

=====

Version b
Material: Pr5YHo6
Method: DFT, PBE
State: optimized geometry

Cell and atoms, written as POSCAR:
```
Pr5YHo6
1.0
6.2066 -0.0141 0.0831
-0.0156 6.7188 2.7587
0.0353 0.0090 9.5670
Ho Pr Y
6 5 1
Direct
0.8329 0.5842 0.3320 Ho
0.1671 0.4158 0.6680 Ho
0.5001 0.2494 0.0000 Ho
0.1672 0.9163 0.6680 Ho
0.8328 0.0837 0.3320 Ho
0.4999 0.7506 0.0000 Ho
0.6675 0.1655 0.6690 Pr
0.3325 0.8345 0.3310 Pr
0.0000 0.5000 0.0000 Pr
0.3338 0.3334 0.3335 Pr
0.6662 0.6666 0.6665 Pr
0.0000 0.0000 0.0000 Y
```

=====

What should be chosen as the most stable of them? Choose version a.

=====

Version a
Material: Pr2YHo
Method: DFT, PBE
State: optimized geometry

Cell and atoms, written as POSCAR:
```
Pr2YHo
1.0
-0.7029 1.0578 -3.4191
-1.5558 -2.3211 -2.3441
-11.3949 3.3302 1.4270
Ho Pr Y
1 2 1
Direct
0.6671 0.6671 0.9981 Ho
0.0831 0.0831 0.7512 Pr
0.2503 0.2503 0.2496 Pr
0.4995 0.4995 0.5010 Y
```

=====

Version b
Material: Pr2YHo
Method: DFT, PBE
State: optimized geometry

Cell and atoms, written as POSCAR:
```
Pr2YHo
1.0
-3.6821 3.1671 3.1312
-2.2207 -2.1411 4.8864
1.6511 2.1430 5.1062
Pr Ho Y
2 1 1
Direct
0.2500 0.2500 0.2500 Pr
0.7500 0.7500 0.7500 Pr
0.5000 0.5000 0.5000 Ho
0.0000 0.0000 0.0000 Y
```

=====

What should be chosen as the most stable of them? Choose version a.